1.
# ScTc2Te

An optimized crystal structure of ScTc2Te (PBE, the Alexandria database).

a b c (Å): 8.760 8.760 8.760
angles (deg): 20.91 20.91 20.91
Positions (direct):
1 Te 0.506 0.506 0.506
2 Sc 0.742 0.742 0.742
3 Tc 0.995 0.995 0.995
4 Tc 0.257 0.257 0.257

Properties
* uncorrected formation energy: 0.183 eV/atom
* space group: R3m (160)
* volume: 74.9 Å³ per cell

***

2.
# ScTc2Te

An optimized crystal structure of ScTc2Te (PBE, the Alexandria database).

a b c (Å): 3.292 3.292 6.402
angles (deg): 90.00 90.00 90.00
Positions (direct):
1 Sc 0.500 0.500 0.750
2 Tc 0.000 0.000 0.487
3 Tc 0.000 0.000 0.013
4 Te 0.500 0.500 0.250

Properties
* uncorrected formation energy: 0.007 eV/atom
* space group: P4/mmm (123)
* volume: 69.4 Å³ per cell